Record 1
12
Lattice="-2.557 3.630 7.690 2.557 -3.630 7.690 2.557 3.630 -7.690" Properties=species:S:1:pos:R:3 comment="AcDy5Zn6, relaxed, DFT GGA-PBE" n_ef_per_ev_cell=13.18 energy_ev_per_atom=-3.1955 pbc="T T T"
Ac 0.000 0.000 0.000
Dy 2.557 0.000 2.526
Dy 0.000 0.000 5.084
Dy 0.000 3.630 0.000
Dy 0.000 0.000 10.297
Dy 0.000 3.630 5.164
Zn 2.557 -1.705 5.024
Zn 2.557 2.014 0.000
Zn 0.000 1.925 2.666
Zn 2.557 1.705 5.024
Zn 0.000 1.616 7.690
Zn 0.000 5.335 2.666

Record 2
16
Lattice="7.527 0.000 0.000 0.000 7.527 0.000 0.000 0.000 7.527" Properties=species:S:1:pos:R:3 comment="LiAcBiAs, relaxed, DFT GGA-PBE" n_ef_per_ev_cell=10.50 energy_ev_per_atom=-4.0683 pbc="T T T"
Li 0.000 0.000 0.000
Li 0.000 3.763 3.763
Li 3.763 0.000 3.763
Li 3.763 3.763 0.000
Ac 1.882 1.882 5.645
Ac 1.882 5.645 1.882
Ac 5.645 1.882 1.882
Ac 5.645 5.645 5.645
Bi 1.882 1.882 1.882
Bi 1.882 5.645 5.645
Bi 5.645 1.882 5.645
Bi 5.645 5.645 1.882
As 0.000 0.000 3.763
As 0.000 3.763 0.000
As 3.763 0.000 0.000
As 3.763 3.763 3.763

Record 3
13
Lattice="-2.868 4.905 4.783 2.868 -4.905 4.783 2.868 4.905 -4.783" Properties=species:S:1:pos:R:3 comment="Li7SmCd5, relaxed, DFT GGA-PBE" n_ef_per_ev_cell=6.67 energy_ev_per_atom=-1.9279 pbc="T T T"
Li 0.000 0.000 0.000
Li 2.868 -1.450 1.432
Li 2.868 1.450 1.432
Li 0.000 0.000 2.936
Li 0.000 2.774 1.499
Li 2.868 0.000 4.256
Li 0.000 7.036 1.499
Sm 0.000 0.000 6.270
Cd 1.424 2.537 -0.892
Cd 1.444 -2.368 3.892
Cd 1.424 7.273 -0.892
Cd 1.444 2.368 3.892
Cd 0.000 4.905 3.349

Record 4
12
Lattice="5.962 0.000 0.000 0.000 5.962 0.000 0.000 0.000 5.962" Properties=species:S:1:pos:R:3 comment="MnAgMo, relaxed, DFT GGA-PBE" de_polymorph_mev_per_atom=531 n_ef_per_ev_cell=11.50 energy_ev_per_atom=-6.7186 pbc="T T T"
Mn 0.000 0.000 0.000
Mn 0.000 2.981 2.981
Mn 2.981 0.000 2.981
Mn 2.981 2.981 0.000
Ag 1.491 1.491 1.491
Ag 1.491 4.472 4.472
Ag 4.472 1.491 4.472
Ag 4.472 4.472 1.491
Mo 1.491 1.491 4.472
Mo 1.491 4.472 1.491
Mo 4.472 1.491 1.491
Mo 4.472 4.472 4.472

Record 5
4
Lattice="2.996 0.000 0.000 0.000 2.996 0.000 0.000 0.000 6.919" Properties=species:S:1:pos:R:3 comment="FeOs2Br, relaxed, DFT GGA-PBE" de_polymorph_mev_per_atom=269 formation_energy_uncorrected_mev_per_atom=943 n_ef_per_ev_cell=3.89 energy_ev_per_atom=-7.2061 pbc="T T T"
Fe 0.000 0.000 0.000
Os 1.498 1.498 1.370
Os 1.498 1.498 5.549
Br 0.000 0.000 3.459

Record 6
18
Lattice="3.029 1.749 8.730 -3.029 1.749 8.730 0.000 -3.497 8.730" Properties=species:S:1:pos:R:3 comment="Pr2Ga3Ni12Ir, relaxed, DFT GGA-PBE" n_ef_per_ev_cell=19.39 energy_ev_per_atom=-5.3734 pbc="T T T"
Pr 0.000 0.000 3.953
Pr 0.000 0.000 22.238
Ga -1.514 -0.874 8.730
Ga -1.514 0.874 17.460
Ga 0.000 1.749 8.730
Ni 0.000 -2.124 7.477
Ni -1.839 1.062 7.477
Ni -1.283 -0.741 11.190
Ni -1.839 -1.062 18.713
Ni 0.000 -1.482 15.001
Ni -1.283 0.741 15.001
Ni 1.283 -0.741 11.190
Ni 0.000 1.482 11.190
Ni 1.839 1.062 7.477
Ni 1.283 0.741 15.001
Ni 1.839 -1.062 18.713
Ni 0.000 2.124 18.713
Ir 0.000 0.000 13.095

Record 7
10
Lattice="7.730 0.000 0.000 0.000 7.730 0.000 0.000 0.000 2.822" Properties=species:S:1:pos:R:3 comment="Li2SnP2, relaxed, DFT GGA-PBE" de_polymorph_mev_per_atom=55 n_ef_per_ev_cell=9.39 energy_ev_per_atom=-3.9907 pbc="T T T"
Li 0.928 2.937 0.000
Li 2.937 6.802 0.000
Li 4.793 0.928 0.000
Li 6.802 4.793 0.000
Sn 0.000 0.000 1.411
Sn 3.865 3.865 1.411
P 1.364 5.229 1.411
P 2.501 1.364 1.411
P 5.229 6.366 1.411
P 6.366 2.501 1.411

Record 8
16
Lattice="6.389 0.000 0.000 0.000 6.389 0.000 0.000 0.000 6.389" Properties=species:S:1:pos:R:3 comment="HfNiAgPt, relaxed, DFT GGA-PBE" n_ef_per_ev_cell=12.48 energy_ev_per_atom=-6.6112 pbc="T T T"
Hf 0.000 0.000 0.000
Hf 0.000 3.195 3.195
Hf 3.195 0.000 3.195
Hf 3.195 3.195 0.000
Ni 1.597 1.597 1.597
Ni 1.597 4.792 4.792
Ni 4.792 1.597 4.792
Ni 4.792 4.792 1.597
Ag 0.000 0.000 3.195
Ag 0.000 3.195 0.000
Ag 3.195 0.000 0.000
Ag 3.195 3.195 3.195
Pt 1.597 1.597 4.792
Pt 1.597 4.792 1.597
Pt 4.792 1.597 1.597
Pt 4.792 4.792 4.792

Record 9
12
Lattice="7.918 0.000 0.000 0.000 7.918 0.000 0.000 0.000 7.918" Properties=species:S:1:pos:R:3 comment="KHgBr, relaxed, DFT GGA-PBE" de_polymorph_mev_per_atom=109 formation_energy_uncorrected_mev_per_atom=-989 n_ef_per_ev_cell=0.00 energy_ev_per_atom=-2.0132 pbc="T T T"
K 0.000 0.000 0.000
K 0.000 3.959 3.959
K 3.959 0.000 3.959
K 3.959 3.959 0.000
Hg 1.979 1.979 5.938
Hg 1.979 5.938 1.979
Hg 5.938 1.979 1.979
Hg 5.938 5.938 5.938
Br 1.979 1.979 1.979
Br 1.979 5.938 5.938
Br 5.938 1.979 5.938
Br 5.938 5.938 1.979

Record 10
10
Lattice="7.826 0.000 0.000 0.000 7.826 0.000 0.000 0.000 3.190" Properties=species:S:1:pos:R:3 comment="Ca2SbF2, relaxed, DFT GGA-PBE" de_polymorph_mev_per_atom=347 formation_energy_uncorrected_mev_per_atom=-2205 n_ef_per_ev_cell=2.44 energy_ev_per_atom=-4.5789 pbc="T T T"
Ca 1.158 2.755 0.000
Ca 2.755 6.668 0.000
Ca 5.071 1.158 0.000
Ca 6.668 5.071 0.000
Sb 0.000 0.000 1.595
Sb 3.913 3.913 1.595
F 0.818 4.731 1.595
F 3.095 0.818 1.595
F 4.731 7.008 1.595
F 7.008 3.095 1.595

Record 11
12
Lattice="4.079 0.000 0.000 -2.039 3.532 0.000 0.000 0.000 28.612" Properties=species:S:1:pos:R:3 comment="SrVTe2, relaxed, DFT GGA-PBE" de_polymorph_mev_per_atom=334 formation_energy_uncorrected_mev_per_atom=-358 n_ef_per_ev_cell=13.20 energy_ev_per_atom=-4.6286 pbc="T T T"
Sr 0.000 0.000 0.000
Sr 0.000 2.355 19.074
Sr 2.039 1.177 9.537
V 0.000 0.000 14.306
V 0.000 2.355 4.769
V 2.039 1.177 23.843
Te 0.000 0.000 3.255
Te 0.000 0.000 25.357
Te 0.000 2.355 15.820
Te 0.000 2.355 22.329
Te 2.039 1.177 6.282
Te 2.039 1.177 12.792

Record 12
15
Lattice="13.265 0.000 0.000 -6.632 11.487 0.000 0.000 0.000 8.033" Properties=species:S:1:pos:R:3 comment="Cs6K8Pt, relaxed, DFT GGA-PBE" n_ef_per_ev_cell=12.34 energy_ev_per_atom=-1.3165 pbc="T T T"
Cs -1.817 5.232 1.977
Cs -1.193 10.445 1.977
Cs 3.622 4.190 6.056
Cs 3.010 7.298 1.977
Cs 7.825 1.042 6.056
Cs 8.449 6.256 6.056
K -0.791 2.414 5.899
K -4.146 10.966 5.899
K 1.695 1.892 2.134
K 0.000 7.658 5.987
K 6.632 3.829 2.046
K 4.937 9.595 5.899
K 10.778 0.522 2.134
K 7.424 9.073 2.134
Pt 0.000 0.000 4.016

Record 13
12
Lattice="3.804 0.000 0.000 -1.902 3.294 0.000 0.000 0.000 31.842" Properties=species:S:1:pos:R:3 comment="RbPr2O, relaxed, DFT GGA-PBE" formation_energy_uncorrected_mev_per_atom=-1001 n_ef_per_ev_cell=10.46 energy_ev_per_atom=-4.8724 pbc="T T T"
Rb 0.000 0.000 0.000
Rb 0.000 2.196 21.228
Rb 1.902 1.098 10.614
Pr 0.000 0.000 3.980
Pr 0.000 0.000 27.862
Pr 0.000 2.196 17.248
Pr 0.000 2.196 25.209
Pr 1.902 1.098 6.634
Pr 1.902 1.098 14.594
O 0.000 0.000 15.921
O 0.000 2.196 5.307
O 1.902 1.098 26.535

Record 14
6
Lattice="0.000 4.102 4.102 4.102 0.000 4.102 4.102 4.102 0.000" Properties=species:S:1:pos:R:3 comment="AcUAu4, relaxed, DFT GGA-PBE" n_ef_per_ev_cell=13.03 energy_ev_per_atom=-4.9175 pbc="T T T"
Ac 0.000 0.000 0.000
U 2.051 2.051 2.051
Au 5.123 3.082 3.082
Au 3.082 5.123 3.082
Au 3.082 3.082 5.123
Au 5.123 5.123 5.123

Record 15
16
Lattice="7.127 0.000 0.000 0.000 7.127 0.000 0.000 0.000 7.127" Properties=species:S:1:pos:R:3 comment="ErLuTlRh, relaxed, DFT GGA-PBE" n_ef_per_ev_cell=4.91 energy_ev_per_atom=-5.2257 pbc="T T T"
Er 0.000 0.000 0.000
Er 0.000 3.564 3.564
Er 3.564 0.000 3.564
Er 3.564 3.564 0.000
Lu 0.000 0.000 3.564
Lu 0.000 3.564 0.000
Lu 3.564 0.000 0.000
Lu 3.564 3.564 3.564
Tl 1.782 1.782 1.782
Tl 1.782 5.346 5.346
Tl 5.346 1.782 5.346
Tl 5.346 5.346 1.782
Rh 1.782 1.782 5.346
Rh 1.782 5.346 1.782
Rh 5.346 1.782 1.782
Rh 5.346 5.346 5.346

Record 16
12
Lattice="2.888 0.000 0.000 -1.444 2.501 0.000 0.000 0.000 28.994" Properties=species:S:1:pos:R:3 comment="SrTc2Ir, relaxed, DFT GGA-PBE" de_polymorph_mev_per_atom=252 n_ef_per_ev_cell=14.56 energy_ev_per_atom=-7.1867 pbc="T T T"
Sr 0.000 0.000 0.000
Sr 0.000 1.667 19.329
Sr 1.444 0.834 9.665
Tc 0.000 0.000 14.530
Tc 0.000 0.000 22.139
Tc 0.000 1.667 4.865
Tc 0.000 1.667 12.475
Tc 1.444 0.834 2.810
Tc 1.444 0.834 24.194
Ir 0.000 0.000 7.017
Ir 0.000 1.667 26.346
Ir 1.444 0.834 16.682

Record 17
12
Lattice="3.653 -6.329 0.000 3.653 6.329 0.000 -2.434 0.000 8.085" Properties=species:S:1:pos:R:3 comment="Nd6CoPd2I3, relaxed, DFT GGA-PBE" formation_energy_uncorrected_mev_per_atom=-795 n_ef_per_ev_cell=7.91 energy_ev_per_atom=-5.0236 pbc="T T T"
Nd 1.144 1.984 1.498
Nd -0.145 0.000 6.581
Nd 1.144 -1.984 1.498
Nd 3.727 1.984 6.587
Nd 5.017 0.000 1.503
Nd 3.727 -1.984 6.587
Co 0.000 0.000 0.000
Pd 3.653 2.108 0.000
Pd 3.653 -2.108 0.000
I 2.436 4.221 4.042
I 2.436 0.000 4.042
I 2.436 -4.221 4.042

Record 18
12
Lattice="4.050 0.000 0.000 -2.025 3.508 0.000 0.000 0.000 15.760" Properties=species:S:1:pos:R:3 comment="LaH2I, relaxed, DFT GGA-PBE" de_polymorph_mev_per_atom=24 n_ef_per_ev_cell=0.00 energy_ev_per_atom=-4.1996 pbc="T T T"
La 0.000 0.000 0.000
La 0.000 2.338 10.507
La 2.025 1.169 5.253
H 0.000 0.000 4.861
H 0.000 0.000 10.899
H 0.000 2.338 5.645
H 0.000 2.338 15.368
H 2.025 1.169 0.392
H 2.025 1.169 10.115
I 0.000 0.000 7.880
I 0.000 2.338 2.627
I 2.025 1.169 13.133

Record 19
13
Lattice="0.000 7.091 7.140 3.258 0.000 7.140 3.258 7.091 0.000" Properties=species:S:1:pos:R:3 comment="NaCd10Sn2, relaxed, DFT GGA-PBE" n_ef_per_ev_cell=4.42 energy_ev_per_atom=-1.4039 pbc="T T T"
Na 0.000 0.000 0.000
Cd 1.629 3.546 0.000
Cd 3.258 2.535 4.671
Cd 3.258 5.540 5.648
Cd 3.258 2.535 9.609
Cd 3.258 5.540 8.632
Cd 1.629 3.546 7.140
Cd 3.258 8.642 5.648
Cd 3.258 11.647 4.671
Cd 3.258 8.642 8.632
Cd 3.258 11.647 9.609
Sn 1.629 0.000 3.570
Sn 1.629 7.091 3.570

Record 20
8
Lattice="6.899 0.000 0.000 0.000 3.997 0.000 -2.309 0.000 6.560" Properties=species:S:1:pos:R:3 comment="Ce2DyThS4, relaxed, DFT GGA-PBE" formation_energy_uncorrected_mev_per_atom=-1985 n_ef_per_ev_cell=10.78 energy_ev_per_atom=-7.0345 pbc="T T T"
Ce 0.000 0.000 0.000
Ce -1.155 1.998 3.280
Dy 2.295 0.000 3.280
Th 3.449 1.998 0.000
S 0.024 0.000 4.876
S 1.176 1.998 1.701
S 3.413 1.998 4.859
S 4.565 0.000 1.684

Record 21
16
Lattice="6.198 0.000 0.000 0.000 6.198 0.000 0.000 0.000 6.198" Properties=species:S:1:pos:R:3 comment="MgIr2Ru, relaxed, DFT GGA-PBE" n_ef_per_ev_cell=20.69 energy_ev_per_atom=-6.9879 pbc="T T T"
Mg 0.000 0.000 0.000
Mg 0.000 3.099 3.099
Mg 3.099 0.000 3.099
Mg 3.099 3.099 0.000
Ir 0.000 0.000 3.099
Ir 0.000 3.099 0.000
Ir 1.549 1.549 4.648
Ir 1.549 4.648 1.549
Ir 3.099 0.000 0.000
Ir 3.099 3.099 3.099
Ir 4.648 1.549 1.549
Ir 4.648 4.648 4.648
Ru 1.549 1.549 1.549
Ru 1.549 4.648 4.648
Ru 4.648 1.549 4.648
Ru 4.648 4.648 1.549

Record 22
4
Lattice="3.039 0.000 0.000 0.000 4.617 0.000 0.000 0.000 4.661" Properties=species:S:1:pos:R:3 comment="TeMoOs2, relaxed, DFT GGA-PBE" formation_energy_uncorrected_mev_per_atom=676 n_ef_per_ev_cell=3.96 energy_ev_per_atom=-8.4318 pbc="T T T"
Te 0.000 0.000 0.000
Mo 1.520 0.000 2.331
Os 0.000 2.309 2.331
Os 1.520 2.309 0.000

Record 23
5
Lattice="5.418 0.000 0.000 0.000 5.418 0.000 0.000 0.000 5.277" Properties=species:S:1:pos:R:3 comment="TaGaBi2Pb, relaxed, DFT GGA-PBE" n_ef_per_ev_cell=6.81 energy_ev_per_atom=-3.9962 pbc="T T T"
Ta 0.000 0.000 0.000
Ga 2.709 2.709 2.639
Bi 0.000 2.709 2.639
Bi 2.709 0.000 2.639
Pb 2.709 2.709 0.000

Record 24
8
Lattice="4.074 0.000 0.000 -2.037 3.528 0.000 0.000 0.000 13.437" Properties=species:S:1:pos:R:3 comment="TbThP2, relaxed, DFT GGA-PBE" de_polymorph_mev_per_atom=50 n_ef_per_ev_cell=4.46 energy_ev_per_atom=-7.2553 pbc="T T T"
Tb 0.000 2.352 3.359
Tb 2.037 1.176 10.077
Th 0.000 0.000 0.000
Th 0.000 0.000 6.718
P 0.000 2.352 8.409
P 0.000 2.352 11.746
P 2.037 1.176 1.691
P 2.037 1.176 5.027

Record 25
16
Lattice="6.098 0.000 0.000 0.000 6.098 0.000 0.000 0.000 6.098" Properties=species:S:1:pos:R:3 comment="GaBiH2, relaxed, DFT GGA-PBE" de_polymorph_mev_per_atom=501 n_ef_per_ev_cell=9.84 energy_ev_per_atom=-2.7500 pbc="T T T"
Ga 0.000 0.000 0.000
Ga 0.000 3.049 3.049
Ga 3.049 0.000 3.049
Ga 3.049 3.049 0.000
Bi 0.000 0.000 3.049
Bi 0.000 3.049 0.000
Bi 3.049 0.000 0.000
Bi 3.049 3.049 3.049
H 1.525 1.525 1.525
H 1.525 1.525 4.574
H 1.525 4.574 1.525
H 1.525 4.574 4.574
H 4.574 1.525 1.525
H 4.574 1.525 4.574
H 4.574 4.574 1.525
H 4.574 4.574 4.574

Record 26
16
Lattice="6.285 0.000 0.000 0.000 6.285 0.000 0.000 0.000 6.285" Properties=species:S:1:pos:R:3 comment="Mo3Os, relaxed, DFT GGA-PBE" de_polymorph_mev_per_atom=143 n_ef_per_ev_cell=18.52 energy_ev_per_atom=-10.7868 pbc="T T T"
Mo 0.000 0.000 0.000
Mo 0.000 3.143 3.143
Mo 1.571 1.571 1.571
Mo 1.571 1.571 4.714
Mo 1.571 4.714 1.571
Mo 1.571 4.714 4.714
Mo 3.143 0.000 3.143
Mo 3.143 3.143 0.000
Mo 4.714 1.571 1.571
Mo 4.714 1.571 4.714
Mo 4.714 4.714 1.571
Mo 4.714 4.714 4.714
Os 0.000 0.000 3.143
Os 0.000 3.143 0.000
Os 3.143 0.000 0.000
Os 3.143 3.143 3.143

Number 1: total magnetic moment 0.00 μB/cell. Number 2: total magnetic moment 0.00 μB/cell. Number 3: total magnetic moment 0.00 μB/cell. Number 4: total magnetic moment 2.64 μB/cell. Number 5: total magnetic moment 2.36 μB/cell. Number 6: total magnetic moment 0.00 μB/cell. Number 7: total magnetic moment 0.00 μB/cell. Number 8: total magnetic moment 0.00 μB/cell. Number 9: total magnetic moment 0.00 μB/cell. Number 10: total magnetic moment 0.00 μB/cell. Number 11: total magnetic moment 5.86 μB/cell. Number 12: total magnetic moment 0.00 μB/cell. Number 13: total magnetic moment 3.54 μB/cell. Number 14: total magnetic moment 3.35 μB/cell. Number 15: total magnetic moment 0.00 μB/cell. Number 16: total magnetic moment 0.00 μB/cell. Number 17: total magnetic moment 0.00 μB/cell. Number 18: total magnetic moment 0.00 μB/cell. Number 19: total magnetic moment 0.00 μB/cell. Number 20: total magnetic moment 1.17 μB/cell. Number 21: total magnetic moment 0.00 μB/cell. Number 22: total magnetic moment 0.00 μB/cell. Number 23: total magnetic moment 2.73 μB/cell. Number 24: total magnetic moment 0.00 μB/cell. Number 25: total magnetic moment 0.00 μB/cell. Number 26: total magnetic moment 0.00 μB/cell.